No. 1
Density functional theory data (PBE) for LiFeSe2N after structural relaxation.

abc: 5.0208 5.0208 3.3705
angles: 90.00 90.00 90.00
Last column: magnetic moment on the atom in μB.
Positions (direct):
1 Se 0.5000 0.0000 0.0000  0.03
2 Fe 0.0000 0.0000 0.0000  0.68
3 Se 0.0000 0.5000 0.0000  0.03
4 N 0.0000 0.0000 0.5000  -0.08
5 Li 0.5000 0.5000 0.5000  0.00

Computed properties:
E   -5.152 eV per atom
Raw formation energy   -18 meV per atom
Offset from the most stable computed form   0 meV/atom
Space group   P4/mmm, No. 123
Calculated volume   17.0 Å³ per atom


No. 2
Density functional theory data (PBE) for HRhF2 after structural relaxation.

abc: 3.8551 3.8551 3.8551
angles: 60.00 60.00 60.00
Last column: magnetic moment on the atom in μB.
Positions (direct):
1 H 0.0000 0.0000 0.0000  0.21
2 Rh 0.5000 0.5000 0.5000  2.32
3 F 0.7500 0.7500 0.7500  0.26
4 F 0.2500 0.2500 0.2500  0.26

Computed properties:
E   -3.684 eV per atom
Offset from the most stable computed form   742 meV/atom
Space group   Fm-3m, No. 225
Calculated volume   10.1 Å³ per atom


No. 3
Density functional theory data (PBE) for Cu4Se2SCl after structural relaxation.

abc: 5.3073 5.3073 6.7960
angles: 112.94 112.94 90.11
Positions (direct):
1 Se 0.2502 0.7502 0.5003
2 Cu 0.1453 0.1453 0.7539
3 Cl 0.0004 0.0004 0.0007
4 Cu 0.6086 0.6086 0.7539
5 Se 0.7502 0.2502 0.5003
6 Cu 0.8545 0.3911 0.2455
7 Cu 0.3911 0.8545 0.2455
8 S 0.5001 0.5001 0.0003

Computed properties:
E   -3.901 eV per atom
Raw formation energy   -235 meV per atom
Space group   Fmm2, No. 42
Calculated volume   20.0 Å³ per atom


No. 4
Density functional theory data (PBE) for DyTmHgAu after structural relaxation.

abc: 3.6495 3.6495 7.2198
angles: 90.00 90.00 90.00
Positions (direct):
1 Tm 0.5000 0.5000 0.1186
2 Au 0.0000 0.0000 0.3495
3 Dy 0.5000 0.5000 0.5968
4 Hg 0.0000 0.0000 0.8631

Computed properties:
E   -3.843 eV per atom
Offset from the most stable computed form   0 meV/atom
Formation energy   -0.680 eV/atom
Space group   P4mm, No. 99
Calculated volume   24.0 Å³ per atom


No. 5
Density functional theory data (PBE) for Mg3InPt6 after structural relaxation.

abc: 4.6479 7.5934 10.0311
angles: 112.71 90.00 90.00
Positions (direct):
1 Pt 0.7500 0.9353 0.1264
2 Pt 0.7500 0.7331 0.5140
3 Mg 0.7500 0.2225 0.0194
4 Pt 0.2500 0.8494 0.2773
5 Mg 0.2500 0.5410 0.3713
6 Pt 0.2500 0.4566 0.0762
7 Pt 0.7500 0.3363 0.3214
8 In 0.7500 0.0426 0.4178
9 Pt 0.2500 0.2669 0.4860
10 Pt 0.7500 0.8423 0.8222
11 Mg 0.7500 0.6301 0.2125
12 Mg 0.2500 0.7775 0.9806
13 Mg 0.7500 0.4590 0.6287
14 Pt 0.2500 0.6637 0.6786
15 Pt 0.2500 0.1577 0.1778
16 Pt 0.7500 0.1506 0.7227
17 In 0.2500 0.9574 0.5822
18 Pt 0.7500 0.5434 0.9238
19 Pt 0.2500 0.0647 0.8736
20 Mg 0.2500 0.3699 0.7875

Computed properties:
E   -5.012 eV per atom
Formation energy   -0.636 eV/atom
Space group   P2_1/m, No. 11
Calculated volume   16.3 Å³ per atom


No. 6
Density functional theory data (PBE) for Pm3Nd7Sm2 after structural relaxation.

abc: 3.6484 5.9929 19.3182
angles: 93.20 90.00 90.00
Positions (direct):
1 Nd 0.0000 0.3195 0.8555
2 Nd 0.5000 0.2574 0.5360
3 Nd 0.5000 0.7426 0.4640
4 Nd 0.0000 0.0000 0.0000
5 Nd 0.5000 0.8173 0.8206
6 Pm 0.5000 0.5000 0.0000
7 Sm 0.5000 0.7061 0.2957
8 Nd 0.0000 0.6805 0.1445
9 Pm 0.0000 0.2159 0.3672
10 Pm 0.0000 0.7841 0.6328
11 Nd 0.5000 0.1827 0.1794
12 Sm 0.5000 0.2939 0.7043

Computed properties:
E   -4.672 eV per atom
Offset from the most stable computed form   15 meV/atom
Formation energy   0.084 eV/atom
Space group   P2/m, No. 10
Calculated volume   35.1 Å³ per atom


No. 7
Density functional theory data (PBE) for BaCuPO2 after structural relaxation.

abc: 4.3545 4.3545 4.2722
angles: 90.00 90.00 90.00
Positions (direct):
1 O 0.0000 0.5000 0.0000
2 P 0.0000 0.0000 0.5000
3 Cu 0.0000 0.0000 0.0000
4 Ba 0.5000 0.5000 0.5000
5 O 0.5000 0.0000 0.0000

Computed properties:
E   -4.812 eV per atom
Raw formation energy   -543 meV per atom
Offset from the most stable computed form   0 meV/atom
Space group   P4/mmm, No. 123
Calculated volume   16.2 Å³ per atom


No. 8
Density functional theory data (PBE) for Nd2HoZn2Ga2 after structural relaxation.

abc: 4.4521 4.4521 9.9209
angles: 77.03 77.03 60.00
Positions (direct):
1 Ga 0.2707 0.2707 0.1880
2 Nd 0.1241 0.1241 0.6276
3 Nd 0.8759 0.8759 0.3724
4 Ga 0.7293 0.7293 0.8120
5 Ho 0.0000 0.0000 0.0000
6 Zn 0.3904 0.3904 0.8289
7 Zn 0.6096 0.6096 0.1711

Computed properties:
E   -3.651 eV per atom
Formation energy   -0.406 eV/atom
Space group   R-3m, No. 166
Calculated volume   23.5 Å³ per atom


No. 9
Density functional theory data (PBE) for Bi2PSe4 after structural relaxation.

abc: 7.0922 7.0922 6.4620
angles: 123.28 123.28 90.00
Last column: magnetic moment on the atom in μB.
Positions (direct):
1 Se 0.1810 0.1810 0.8585  0.01
2 P 0.5000 0.5000 0.0000  0.15
3 Bi 0.2500 0.7500 0.5000  0.02
4 Se 0.8190 0.3225 0.1415  0.01
5 Se 0.6775 0.6775 0.8585  0.01
6 Bi 0.7500 0.2500 0.5000  0.02
7 Se 0.3225 0.8190 0.1415  0.01

Computed properties:
E   -3.844 eV per atom
Raw formation energy   29 meV per atom
Space group   I-42m, No. 121
Calculated volume   29.3 Å³ per atom


No. 10
Density functional theory data (PBE) for TeRh2Br after structural relaxation.

abc: 6.7348 6.7348 6.7348
angles: 33.38 33.38 33.38
Positions (direct):
1 Rh 0.0138 0.0138 0.0138
2 Te 0.7500 0.7500 0.7500
3 Rh 0.4862 0.4862 0.4862
4 Br 0.2500 0.2500 0.2500

Computed properties:
E   -4.844 eV per atom
Raw formation energy   36 meV per atom
Offset from the most stable computed form   142 meV/atom
Space group   R-3m, No. 166
Calculated volume   20.6 Å³ per atom


No. 11
Density functional theory data (PBE) for KSc2Cd after structural relaxation.

abc: 6.9389 6.9389 6.9389
angles: 152.50 130.25 57.78
Positions (direct):
1 Cd 0.7500 0.2500 0.5000
2 Sc 0.5358 0.5358 0.0000
3 K 0.2500 0.7500 0.5000
4 Sc 0.9642 0.9642 0.0000

Computed properties:
E   -3.391 eV per atom
Formation energy   0.278 eV/atom
Space group   Immm, No. 71
Calculated volume   29.2 Å³ per atom


No. 12
Density functional theory data (PBE) for Cr2FeTc after structural relaxation.

abc: 4.4984 4.4984 4.4984
angles: 132.15 132.15 69.98
Last column: magnetic moment on the atom in μB.
Positions (direct):
1 Tc 0.7500 0.2500 0.5000  -0.02
2 Cr 0.2500 0.7500 0.5000  -0.38
3 Cr 0.0000 0.0000 0.0000  0.02
4 Fe 0.5000 0.5000 0.0000  1.29

Computed properties:
E   -9.332 eV per atom
Offset from the most stable computed form   88 meV/atom
Formation energy   0.187 eV/atom
Space group   I-4m2, No. 119
Calculated volume   12.3 Å³ per atom


> What is the formula in the ninth record?

Bi2PSe4